Below is a relaxed Pu7OsRh4 crystal, with properties calculated at the PBE level.

E_tot ... -142.94 eV per formula unit
ΔH_f (0 K) ... -0.165 eV per atom
Magnetization ... 36.66 μB per formula unit

The structure in CIF format:
```
data_Pu7OsRh4
_space_group_name_H-M_alt 'C 1 2/m 1'
_space_group_IT_number 12
_space_group_name_Hall '-C 2y'
_cell_length_a 11.360
_cell_length_b 5.266
_cell_length_c 9.125
_cell_angle_alpha 90.00
_cell_angle_beta 106.08
_cell_angle_gamma 90.00
loop_
_atom_site_label
_atom_site_fract_x
_atom_site_fract_y
_atom_site_fract_z
Pu1 0.000 0.000 0.000
Pu2 0.036 0.500 0.702
Pu3 0.236 0.000 0.582
Pu4 0.245 0.000 0.903
Os1 0.000 0.500 0.000
Rh1 0.005 0.000 0.350
Rh2 0.212 0.000 0.241
```